## CsSn12Pt4 (PBE)

Data for crystalline CsSn12Pt4 at its relaxed geometry.

Lattice parameters (Å, degrees): 8.329 8.329 8.329 109.47 109.47 109.47
Fractional coordinates of all 17 atoms:
1 Pt 0.500 0.500 0.500
2 Sn 0.839 0.653 0.493
3 Sn 0.161 0.347 0.507
4 Pt 0.000 0.500 0.000
5 Sn 0.814 0.161 0.653
6 Sn 0.839 0.347 0.186
7 Sn 0.653 0.814 0.161
8 Pt 0.000 0.000 0.500
9 Sn 0.493 0.839 0.653
10 Pt 0.500 0.000 0.000
11 Sn 0.507 0.161 0.347
12 Sn 0.161 0.653 0.814
13 Sn 0.347 0.186 0.839
14 Sn 0.653 0.493 0.839
15 Sn 0.186 0.839 0.347
16 Sn 0.347 0.507 0.161
17 Cs 0.000 0.000 0.000

## Properties
Formation energy, eV/atom: -0.336
Raw total energy, eV per cell: -78.76
Spin magnetization, μB per formula unit: 0.00
N(E_F), states/eV/f.u.: 7.79

## CsSn2Pt (PBE)

Data for crystalline CsSn2Pt at its relaxed geometry.

Lattice parameters (Å, degrees): 4.460 4.460 8.177 74.18 74.18 60.00
Fractional coordinates of all 4 atoms:
1 Cs 0.500 0.500 0.500
2 Sn 0.710 0.710 0.871
3 Sn 0.290 0.290 0.129
4 Pt 0.000 0.000 0.000

## Properties
Formation energy, eV/atom: -0.431
Raw total energy, eV per cell: -16.62
Spin magnetization, μB per formula unit: 0.00
N(E_F), states/eV/f.u.: 2.11

## Cs4Sn5Pt (PBE)

Data for crystalline Cs4Sn5Pt at its relaxed geometry.

Lattice parameters (Å, degrees): 6.686 8.703 8.703 81.52 67.41 67.41
Fractional coordinates of all 10 atoms:
1 Sn 0.095 0.731 0.000
2 Cs 0.145 0.299 0.299
3 Cs 0.444 0.701 0.299
4 Cs 0.744 0.701 0.701
5 Sn 0.826 0.269 0.000
6 Cs 0.444 0.299 0.701
7 Pt 0.233 0.000 0.000
8 Sn 0.636 0.000 0.000
9 Sn 0.095 0.000 0.731
10 Sn 0.826 0.000 0.269

## Properties
Formation energy, eV/atom: -0.276
Raw total energy, eV per cell: -32.23
Spin magnetization, μB per formula unit: 0.00
N(E_F), states/eV/f.u.: 0.85